Density functional theory data (SCAN) for a crystal of TlTe2Rh relaxed with PBEsol.

```
data_TlTe2Rh
_symmetry_space_group_name_H-M 'P 1'
_symmetry_Int_Tables_number 1
_cell_length_a 5.0369
_cell_length_b 5.0369
_cell_length_c 5.0369
_cell_angle_alpha 60.00
_cell_angle_beta 60.00
_cell_angle_gamma 60.00
loop_
_symmetry_equiv_pos_as_xyz
'x,y,z'
loop_
_atom_site_label
_atom_site_fract_x
_atom_site_fract_y
_atom_site_fract_z
Tl1 0.0000 0.0000 0.0000
Te1 0.2500 0.2500 0.2500
Te2 0.5000 0.5000 0.5000
Rh1 0.7500 0.7500 0.7500
```

Properties
The theoretical density comes out at 10.3 g cm⁻³. The total energy is -44.6700 eV per atom. For the formation energy from raw total energies, the calculation gives 0.488 eV per atom. Its density of states at the Fermi level is 3.762 states/eV/cell. The space group is No. 216.


Density functional theory data (SCAN) for a crystal of Tl2TeRh relaxed with PBEsol.

```
data_Tl2TeRh
_symmetry_space_group_name_H-M 'P 1'
_symmetry_Int_Tables_number 1
_cell_length_a 5.0312
_cell_length_b 5.0312
_cell_length_c 5.0312
_cell_angle_alpha 120.20
_cell_angle_beta 120.20
_cell_angle_gamma 89.66
loop_
_symmetry_equiv_pos_as_xyz
'x,y,z'
loop_
_atom_site_label
_atom_site_fract_x
_atom_site_fract_y
_atom_site_fract_z
Tl1 0.0000 0.0000 0.0000
Tl2 0.7500 0.2500 0.5000
Te1 0.2500 0.7500 0.5000
Rh1 0.5000 0.5000 0.0000
```

Properties
The calculation puts the excess energy over the best structure of this formula in the dataset at 397 meV per atom. The theoretical density comes out at 11.8 g cm⁻³. The total energy is -53.6473 eV per atom. For the formation energy from raw total energies, the calculation gives 0.288 eV per atom. Its density of states at the Fermi level is 3.214 states/eV/cell. The space group is No. 119.


Density functional theory data (SCAN) for a crystal of TeRh2W relaxed with PBEsol.

```
data_TeRh2W
_symmetry_space_group_name_H-M 'P 1'
_symmetry_Int_Tables_number 1
_cell_length_a 2.9809
_cell_length_b 3.8147
_cell_length_c 5.6121
_cell_angle_alpha 90.00
_cell_angle_beta 90.00
_cell_angle_gamma 90.00
loop_
_symmetry_equiv_pos_as_xyz
'x,y,z'
loop_
_atom_site_label
_atom_site_fract_x
_atom_site_fract_y
_atom_site_fract_z
Te1 0.0000 0.0000 0.0000
Rh1 0.5000 0.5000 0.2686
Rh2 0.5000 0.5000 0.7314
W1 0.0000 0.0000 0.5000
```

Properties
The theoretical density comes out at 13.5 g cm⁻³. The total energy is -43.4914 eV per atom. For the formation energy from raw total energies, the calculation gives 0.129 eV per atom. Its density of states at the Fermi level is 2.972 states/eV/cell. The space group is No. 47.